No. 1
# FeGeB2Pd

An optimized crystal structure of FeGeB2Pd (GGA-PBE, the Alexandria database).

Summary:
Calculated formation energy ... 1.25 eV/atom

a b c (Å): 3.922 3.922 5.257
angles (deg): 90.00 90.00 90.00
Space group P4/mmm (No. 123)
Asymmetric unit:
Fe 0.000 0.000 0.000 (multiplicity 1)
Ge 0.500 0.500 0.000 (multiplicity 1)
B 0.000 0.500 0.500 (multiplicity 2)
Pd 0.500 0.500 0.500 (multiplicity 1)

No. 2
# Pr8Cu2Ni

An optimized crystal structure of Pr8Cu2Ni (GGA-PBE, the Alexandria database).

Summary:
Energy relative to the lowest polymorph listed for this composition ... 0.075 eV per atom
Calculated formation energy ... 0.02 eV/atom

a b c (Å): 9.302 12.532 6.247
angles (deg): 90.00 113.22 90.00
Space group Cm (No. 8)
Asymmetric unit:
Pr 0.000 0.000 0.000 (multiplicity 2)
Pr 0.107 0.356 0.888 (multiplicity 4)
Pr 0.136 0.136 0.569 (multiplicity 4)
Pr 0.239 0.500 0.429 (multiplicity 2)
Pr 0.371 0.149 0.241 (multiplicity 4)
Cu 0.363 0.304 0.704 (multiplicity 4)
Ni 0.375 0.000 0.920 (multiplicity 2)

No. 3
# Nd2Tl2Ag3

An optimized crystal structure of Nd2Tl2Ag3 (GGA-PBE, the Alexandria database).

Summary:
Calculated formation energy ... -0.13 eV/atom

a b c (Å): 3.804 27.464 3.419
angles (deg): 90.00 90.00 90.00
Space group Cmmm (No. 65)
Asymmetric unit:
Nd 0.000 0.124 0.000 (multiplicity 4)
Tl 0.000 0.294 0.500 (multiplicity 4)
Ag 0.000 0.000 0.000 (multiplicity 2)
Ag 0.000 0.448 0.500 (multiplicity 4)

No. 4
# Zn2PIr

An optimized crystal structure of Zn2PIr (GGA-PBE, the Alexandria database).

Summary:
Calculated formation energy ... 0.02 eV/atom

a b c (Å): 3.700 3.700 8.157
angles (deg): 90.00 90.00 90.00
Space group I4/mmm (No. 139)
Asymmetric unit:
Zn 0.000 0.500 0.250 (multiplicity 4)
P 0.000 0.000 0.000 (multiplicity 2)
Ir 0.000 0.000 0.500 (multiplicity 2)

No. 5
# Sm5Er3S8

An optimized crystal structure of Sm5Er3S8 (GGA-PBE, the Alexandria database).

Summary:
Formation energy without anion corrections ... -31.91 eV per formula unit

a b c (Å): 7.8935 7.8935 19.4869
angles (deg): 90.00 90.00 120.00
Space group R-3m (No. 166, hexagonal axes)
Asymmetric unit:
Sm 0.0000 0.0000 0.0000 (multiplicity 3)
Sm 0.0000 0.0000 0.5000 (multiplicity 3)
Sm 0.0000 0.5000 0.0000 (multiplicity 9)
Er 0.0000 0.5000 0.5000 (multiplicity 9)
S 0.0000 0.0000 0.2451 (multiplicity 6)
S 0.0067 0.5033 0.7534 (multiplicity 18)

No. 6
# Pr2SmYEr2

An optimized crystal structure of Pr2SmYEr2 (GGA-PBE, the Alexandria database).

Summary:
Calculated formation energy ... 0.06 eV/atom

a b c (Å): 7.088 5.699 9.859
angles (deg): 90.00 90.00 90.00
Space group Pmma (No. 51)
Asymmetric unit:
Pr 0.000 0.000 0.000 (multiplicity 2)
Pr 0.250 0.500 0.176 (multiplicity 2)
Sm 0.250 0.000 0.660 (multiplicity 2)
Y 0.000 0.500 0.500 (multiplicity 2)
Er 0.250 0.000 0.332 (multiplicity 2)
Er 0.250 0.500 0.836 (multiplicity 2)

No. 7
# Ti2NbCrH

An optimized crystal structure of Ti2NbCrH (GGA-PBE, the Alexandria database).

Summary:
Energy relative to the lowest polymorph listed for this composition ... 1.739 eV per atom

a b c (Å): 4.828 4.828 4.719
angles (deg): 90.00 90.00 90.00
Space group P4/mmm (No. 123)
Asymmetric unit:
Ti 0.000 0.500 0.000 (multiplicity 2)
Nb 0.000 0.000 0.000 (multiplicity 1)
Cr 0.000 0.000 0.500 (multiplicity 1)
H 0.500 0.500 0.500 (multiplicity 1)

No. 8
# Ga3Ni

An optimized crystal structure of Ga3Ni (GGA-PBE, the Alexandria database).

Summary:
Calculated formation energy ... -0.10 eV/atom

a b c (Å): 2.784 2.889 7.972
angles (deg): 90.00 90.00 90.00
Space group Pmm2 (No. 25)
Asymmetric unit:
Ga 0.000 0.000 0.000 (multiplicity 1)
Ga 0.000 0.500 0.436 (multiplicity 1)
Ga 0.500 0.500 0.736 (multiplicity 1)
Ni 0.500 0.000 0.255 (multiplicity 1)

No. 9
# MgPdC3

An optimized crystal structure of MgPdC3 (GGA-PBE, the Alexandria database).

Summary:
Calculated formation energy ... 2.34 eV/atom

a b c (Å): 4.058 4.058 4.058
angles (deg): 90.00 90.00 90.00
Space group Pm-3m (No. 221)
Asymmetric unit:
Mg 0.000 0.000 0.000 (multiplicity 1)
Pd 0.500 0.500 0.500 (multiplicity 1)
C 0.000 0.500 0.500 (multiplicity 3)

No. 10
# SmYTe2O

An optimized crystal structure of SmYTe2O (GGA-PBE, the Alexandria database).

Summary:
Formation energy without anion corrections ... -10.37 eV per formula unit

a b c (Å): 4.186 4.186 15.809
angles (deg): 90.00 90.00 90.00
Space group P4/nmm (No. 129, origin choice 2)
Asymmetric unit:
Sm 0.250 0.250 0.068 (multiplicity 2)
Y 0.250 0.250 0.632 (multiplicity 2)
Te 0.250 0.250 0.417 (multiplicity 2)
Te 0.250 0.250 0.813 (multiplicity 2)
O 0.250 0.750 0.000 (multiplicity 2)

No. 11
# TaAsIr

An optimized crystal structure of TaAsIr (GGA-PBE, the Alexandria database).

Summary:
Calculated formation energy ... -0.08 eV/atom

a b c (Å): 2.9144 2.9144 6.7258
angles (deg): 90.00 90.00 120.00
Space group P3m1 (No. 156)
Asymmetric unit:
Ta 0.0000 0.0000 0.0000 (multiplicity 1)
As 0.6667 0.3333 0.3399 (multiplicity 1)
Ir 0.3333 0.6667 0.6822 (multiplicity 1)

No. 12
# Zr7Cr

An optimized crystal structure of Zr7Cr (GGA-PBE, the Alexandria database).

Summary:
Calculated formation energy ... 0.17 eV/atom

a b c (Å): 8.937 8.937 8.937
angles (deg): 90.00 90.00 90.00
Space group Fm-3m (No. 225)
Asymmetric unit:
Zr 0.000 0.000 0.000 (multiplicity 4)
Zr 0.000 0.250 0.250 (multiplicity 24)
Cr 0.000 0.000 0.500 (multiplicity 4)

| no. | E_tot (eV/atom) | N(E_F) (states/eV per atom) |
| --- | --- | --- |
| 1 | -5.077 | 0.693 |
| 2 | -4.728 | 1.374 |
| 3 | -3.393 | 0.569 |
| 4 | -4.182 | 0.585 |
| 5 | -6.389 | 0.507 |
| 6 | -4.916 | 1.607 |
| 7 | -6.028 | 1.231 |
| 8 | -3.813 | 0.446 |
| 9 | -4.551 | 0.124 |
| 10 | -6.558 | 0.300 |
| 11 | -8.537 | 0.687 |
| 12 | -8.509 | 1.420 |